DFT (GGA-PBE) results for a relaxed MgHI2 crystal.

CIF file:
```
data_MgHI2
_symmetry_space_group_name_H-M 'I -4 2 d'
_symmetry_Int_Tables_number 122
_symmetry_space_group_name_Hall 'I -4 2bw'
_cell_length_a 7.3822
_cell_length_b 7.3822
_cell_length_c 11.2293
_cell_angle_alpha 90.00
_cell_angle_beta 90.00
_cell_angle_gamma 90.00
loop_
_atom_site_label
_atom_site_type_symbol
_atom_site_fract_x
_atom_site_fract_y
_atom_site_fract_z
Mg1 Mg 0.0000 0.0000 0.0000
H1 H 0.0000 0.0000 0.5000
I1 I 0.2039 0.2500 0.1250
```

Output
- mass density (kg/m³) = 3030
- size of the total moment (Bohr magnetons per cell) = 4.00

=====

DFT (GGA-PBE) results for a relaxed LuPaHg2 crystal.

CIF file:
```
data_LuPaHg2
_symmetry_space_group_name_H-M 'P 4/m m m'
_symmetry_Int_Tables_number 123
_symmetry_space_group_name_Hall '-P 4 2'
_cell_length_a 3.3269
_cell_length_b 3.3269
_cell_length_c 8.7350
_cell_angle_alpha 90.00
_cell_angle_beta 90.00
_cell_angle_gamma 90.00
loop_
_atom_site_label
_atom_site_type_symbol
_atom_site_fract_x
_atom_site_fract_y
_atom_site_fract_z
Lu1 Lu 0.0000 0.0000 0.0000
Pa1 Pa 0.0000 0.0000 0.5000
Hg1 Hg 0.5000 0.5000 0.2379
```

Output
- mass density (kg/m³) = 13864
- size of the total moment (Bohr magnetons per cell) = 0.94

=====

DFT (GGA-PBE) results for a relaxed BeZn3Br crystal.

CIF file:
```
data_BeZn3Br
_symmetry_space_group_name_H-M 'P m -3 m'
_symmetry_Int_Tables_number 221
_symmetry_space_group_name_Hall '-P 4 2 3'
_cell_length_a 5.2642
_cell_length_b 5.2642
_cell_length_c 5.2642
_cell_angle_alpha 90.00
_cell_angle_beta 90.00
_cell_angle_gamma 90.00
loop_
_atom_site_label
_atom_site_type_symbol
_atom_site_fract_x
_atom_site_fract_y
_atom_site_fract_z
Be1 Be 0.0000 0.0000 0.0000
Zn1 Zn 0.0000 0.5000 0.5000
Br1 Br 0.5000 0.5000 0.5000
```

Output
- energy relative to the elements, uncorrected (meV per atom) = 1173
- mass density (kg/m³) = 3246
- size of the total moment (Bohr magnetons per cell) = 0.00

=====

DFT (GGA-PBE) results for a relaxed Te2S3Cl crystal.

CIF file:
```
data_Te2S3Cl
_symmetry_space_group_name_H-M 'P -1'
_symmetry_Int_Tables_number 2
_symmetry_space_group_name_Hall '-P 1'
_cell_length_a 6.7984
_cell_length_b 7.1756
_cell_length_c 8.4912
_cell_angle_alpha 94.24
_cell_angle_beta 111.75
_cell_angle_gamma 106.38
loop_
_atom_site_label
_atom_site_type_symbol
_atom_site_fract_x
_atom_site_fract_y
_atom_site_fract_z
Te1 Te 0.0492 0.0824 0.2195
Te2 Te 0.2897 0.6555 0.2221
S1 S 0.0561 0.6088 0.8166
S2 S 0.2656 0.1428 0.0352
S3 S 0.4493 0.6189 0.5282
Cl1 Cl 0.2790 0.0039 0.6559
```

Output
- energy relative to the elements, uncorrected (meV per atom) = -75
- mass density (kg/m³) = 3553
- size of the total moment (Bohr magnetons per cell) = 0.00

=====

DFT (GGA-PBE) results for a relaxed Mg2Cd5Hg4 crystal.

CIF file:
```
data_Mg2Cd5Hg4
_symmetry_space_group_name_H-M 'I m m m'
_symmetry_Int_Tables_number 71
_symmetry_space_group_name_Hall '-I 2 2'
_cell_length_a 3.3676
_cell_length_b 7.9234
_cell_length_c 20.2107
_cell_angle_alpha 90.00
_cell_angle_beta 90.00
_cell_angle_gamma 90.00
loop_
_atom_site_label
_atom_site_type_symbol
_atom_site_fract_x
_atom_site_fract_y
_atom_site_fract_z
Mg1 Mg 0.0000 0.0000 0.0902
Cd1 Cd 0.0000 0.1960 0.3517
Cd2 Cd 0.0000 0.5000 0.0000
Hg1 Hg 0.0000 0.0000 0.2288
Hg2 Hg 0.0000 0.2982 0.5000
```

Output
- mass density (kg/m³) = 8702
- size of the total moment (Bohr magnetons per cell) = 0.00

=====

DFT (GGA-PBE) results for a relaxed SrYAl2Ru crystal.

CIF file:
```
data_SrYAl2Ru
_symmetry_space_group_name_H-M 'P 4/m m m'
_symmetry_Int_Tables_number 123
_symmetry_space_group_name_Hall '-P 4 2'
_cell_length_a 4.9412
_cell_length_b 4.9412
_cell_length_c 5.1906
_cell_angle_alpha 90.00
_cell_angle_beta 90.00
_cell_angle_gamma 90.00
loop_
_atom_site_label
_atom_site_type_symbol
_atom_site_fract_x
_atom_site_fract_y
_atom_site_fract_z
Sr1 Sr 0.0000 0.0000 0.0000
Y1 Y 0.5000 0.5000 0.0000
Al1 Al 0.0000 0.5000 0.5000
Ru1 Ru 0.5000 0.5000 0.5000
```

Output
- mass density (kg/m³) = 4344
- size of the total moment (Bohr magnetons per cell) = 0.00

=====

DFT (GGA-PBE) results for a relaxed Rb5InHg4 crystal.

CIF file:
```
data_Rb5InHg4
_symmetry_space_group_name_H-M 'C 1 2/m 1'
_symmetry_Int_Tables_number 12
_symmetry_space_group_name_Hall '-C 2y'
_cell_length_a 23.0294
_cell_length_b 4.9163
_cell_length_c 9.3513
_cell_angle_alpha 90.00
_cell_angle_beta 111.83
_cell_angle_gamma 90.00
loop_
_atom_site_label
_atom_site_type_symbol
_atom_site_fract_x
_atom_site_fract_y
_atom_site_fract_z
Rb1 Rb 0.0000 0.0000 0.0000
Rb2 Rb 0.1374 0.5000 0.5094
Rb3 Rb 0.1957 0.5000 0.1079
In1 In 0.0000 0.0000 0.5000
Hg1 Hg 0.0353 0.5000 0.7261
Hg2 Hg 0.1294 0.0000 0.8065
```

Output
- mass density (kg/m³) = 4543
- size of the total moment (Bohr magnetons per cell) = 0.00

=====

DFT (GGA-PBE) results for a relaxed Fe2AgTe crystal.

CIF file:
```
data_Fe2AgTe
_symmetry_space_group_name_H-M 'C 1 m 1'
_symmetry_Int_Tables_number 8
_symmetry_space_group_name_Hall 'C -2y'
_cell_length_a 7.8807
_cell_length_b 3.0674
_cell_length_c 6.6566
_cell_angle_alpha 90.00
_cell_angle_beta 98.02
_cell_angle_gamma 90.00
loop_
_atom_site_label
_atom_site_type_symbol
_atom_site_fract_x
_atom_site_fract_y
_atom_site_fract_z
Fe1 Fe 0.0000 0.0000 0.0000
Fe2 Fe 0.1955 0.5000 0.8680
Ag1 Ag 0.3879 0.0000 0.6453
Te1 Te 0.3135 0.0000 0.2126
```

Output
- energy relative to the elements, uncorrected (meV per atom) = 359
- mass density (kg/m³) = 7236
- size of the total moment (Bohr magnetons per cell) = 10.30

=====

Number 1: final energy -2.20 eV per atom. Number 2: final energy -3.80 eV per atom. Number 3: final energy -0.67 eV per atom. Number 4: final energy -3.49 eV per atom. Number 5: final energy -0.83 eV per atom. Number 6: final energy -5.22 eV per atom. Number 7: final energy -1.04 eV per atom. Number 8: final energy -5.37 eV per atom.